# NaNd2Cd4, optimized geometry, DFT PBE
# - D(E_F): 17.68 states/eV per cell
# - VASP energy: -2.13 eV per atom
data_NaNd2Cd4
_space_group_name_H-M_alt 'R -3 m'
_space_group_IT_number 166
_space_group_name_Hall '-R 3 2"'
_cell_length_a 5.3267
_cell_length_b 5.3267
_cell_length_c 24.8518
_cell_angle_alpha 90.00
_cell_angle_beta 90.00
_cell_angle_gamma 120.00
loop_
_atom_site_label
_atom_site_type_symbol
_atom_site_fract_x
_atom_site_fract_y
_atom_site_fract_z
Na1 Na 0.0000 0.0000 0.0000
Nd1 Nd 0.0000 0.0000 0.2522
Cd1 Cd 0.0000 0.0000 0.1245
Cd2 Cd 0.0000 0.0000 0.3850